First-principles (PBE-GGA) data for crystalline WC at its relaxed geometry, as listed in Alexandria via LeMat-Bulk.

The structure in POSCAR format:
```
WC
1.0
1.525 3.049 4.080
-2.769 -4.450 0.896
2.633 -1.597 0.209
W C
3 3
direct
0.500 0.000 0.000 W
0.000 0.500 0.000 W
0.500 0.500 0.000 W
0.000 0.000 0.000 C
0.333 0.667 0.500 C
0.667 0.333 0.500 C
```

Results
Polymorph energy (0 for the lowest one) (eV per atom): 1.2878
Energy of formation from the pure elements (eV per atom): 1.16



First-principles (PBE-GGA) data for crystalline WC5 at its relaxed geometry, as listed in Alexandria via LeMat-Bulk.

The structure in POSCAR format:
```
WC5
1.0
1.335 3.995 -0.019
-1.335 3.995 -0.019
0.000 0.105 4.552
W C
1 5
direct
0.769 0.769 0.012 W
0.045 0.045 0.888 C
0.567 0.567 0.391 C
0.292 0.292 0.618 C
0.385 0.385 0.348 C
0.109 0.109 0.577 C
```

Results
Polymorph energy (0 for the lowest one) (eV per atom): 0.2564
Energy of formation from the pure elements (eV per atom): 1.00



First-principles (PBE-GGA) data for crystalline WC at its relaxed geometry, as listed in Alexandria via LeMat-Bulk.

The structure in POSCAR format:
```
WC
1.0
-2.573 1.756 -0.345
-0.140 -3.095 -0.473
-1.340 -0.825 5.791
W C
2 2
direct
0.333 0.667 0.707 W
0.667 0.333 0.207 W
0.333 0.667 0.375 C
0.667 0.333 0.875 C
```

Results
Polymorph energy (0 for the lowest one) (eV per atom): 0.6235
Energy of formation from the pure elements (eV per atom): 0.50



First-principles (PBE-GGA) data for crystalline W3C at its relaxed geometry, as listed in Alexandria via LeMat-Bulk.

The structure in POSCAR format:
```
W3C
1.0
4.269 0.000 0.000
0.000 4.269 0.000
0.000 0.000 3.102
C W
1 3
direct
0.000 0.000 0.000 C
0.500 0.000 0.500 W
0.500 0.500 0.000 W
0.000 0.500 0.500 W
```

Results
Polymorph energy (0 for the lowest one) (eV per atom): 1.1496
Energy of formation from the pure elements (eV per atom): 1.29